CsK3Rb10 | PBE | relaxed

Properties
- calculated formation energy (kJ/mol of atoms) = 6

Unit cell a=15.587 b=15.587 c=15.587 alpha=60.00 beta=60.00 gamma=60.00
Element x y z (fractional)
Rb  0.000  0.661  0.000
Rb  0.094  0.635  0.635
Rb  0.000  0.661  0.339
Rb  0.365  0.365  0.906
Rb  0.000  0.000  0.661
Rb  0.000  0.000  0.339
Rb  0.635  0.635  0.094
Rb  0.635  0.094  0.635
Rb  0.365  0.906  0.365
Rb  0.000  0.339  0.000
Rb  0.635  0.635  0.635
Rb  0.906  0.365  0.365
Rb  0.000  0.339  0.661
Rb  0.661  0.000  0.000
Rb  0.661  0.339  0.000
Rb  0.339  0.000  0.661
Rb  0.661  0.000  0.339
Rb  0.339  0.661  0.000
Rb  0.365  0.365  0.365
Rb  0.339  0.000  0.000
K  0.690  0.310  0.310
K  0.690  0.690  0.310
K  0.690  0.310  0.690
K  0.310  0.690  0.690
K  0.310  0.690  0.310
K  0.310  0.310  0.690
Cs  0.750  0.750  0.750
Cs  0.250  0.250  0.250